YTe2BrN at its PBEsol-relaxed geometry, computed with SCAN.

Structure (CIF):
```
data_YTe2BrN
_chemical_formula_sum 'Y1 Te2 Br1 N1'
_space_group_name_H-M_alt 'P 4/m m m'
_space_group_IT_number 123
_space_group_name_Hall '-P 4 2'
_cell_length_a 4.774
_cell_length_b 4.774
_cell_length_c 4.927
_cell_angle_alpha 90.00
_cell_angle_beta 90.00
_cell_angle_gamma 90.00
loop_
_atom_site_label
_atom_site_type_symbol
_atom_site_fract_x
_atom_site_fract_y
_atom_site_fract_z
Y1 Y 0.000 0.000 0.000
Te1 Te 0.000 0.500 0.500
Br1 Br 0.500 0.500 0.000
N1 N 0.000 0.000 0.500
```

Summary:
V = 22.46 Å³/atom
Crystal system = tetragonal
Formation energy (no corrections) = -223.7 meV per atom

=====

ThBrN at its PBEsol-relaxed geometry, computed with SCAN.

Structure (CIF):
```
data_ThBrN
_chemical_formula_sum 'Th2 Br2 N2'
_space_group_name_H-M_alt 'P 4/n m m'
_space_group_IT_number 129
_cell_length_a 4.071
_cell_length_b 4.071
_cell_length_c 7.453
_cell_angle_alpha 90.00
_cell_angle_beta 90.00
_cell_angle_gamma 90.00
loop_
_space_group_symop_operation_xyz
'x,y,z'
'-x,-y,-z'
'-y+1/2,x,z'
'y+1/2,-x,-z'
'-x+1/2,-y+1/2,z'
'x+1/2,y+1/2,-z'
'y,-x+1/2,z'
'-y,x+1/2,-z'
'x+1/2,-y,-z'
'-x+1/2,y,z'
'-y,-x,-z'
'y,x,z'
'-x,y+1/2,-z'
'x,-y+1/2,z'
'y+1/2,x+1/2,-z'
'-y+1/2,-x+1/2,z'
loop_
_atom_site_label
_atom_site_type_symbol
_atom_site_fract_x
_atom_site_fract_y
_atom_site_fract_z
Th1 Th 0.250 0.250 0.154
Br1 Br 0.250 0.250 0.631
N1 N 0.250 0.750 0.000
```

Summary:
V = 20.59 Å³/atom
Crystal system = tetragonal
Formation energy (no corrections) = -2194.7 meV per atom

=====

TiBrN at its PBEsol-relaxed geometry, computed with SCAN.

Structure (CIF):
```
data_TiBrN
_chemical_formula_sum 'Ti2 Br2 N2'
_space_group_name_H-M_alt 'P m m n'
_space_group_IT_number 59
_cell_length_a 3.336
_cell_length_b 3.924
_cell_length_c 8.529
_cell_angle_alpha 90.00
_cell_angle_beta 90.00
_cell_angle_gamma 90.00
loop_
_space_group_symop_operation_xyz
'x,y,z'
'-x,-y,-z'
'-x+1/2,-y+1/2,z'
'x+1/2,y+1/2,-z'
'x+1/2,-y,-z'
'-x+1/2,y,z'
'-x,y+1/2,-z'
'x,-y+1/2,z'
loop_
_atom_site_label
_atom_site_type_symbol
_atom_site_fract_x
_atom_site_fract_y
_atom_site_fract_z
Ti1 Ti 0.250 0.250 0.087
Br1 Br 0.250 0.750 0.682
N1 N 0.250 0.750 0.042
```

Summary:
V = 18.61 Å³/atom
Crystal system = orthorhombic
Formation energy (no corrections) = -1590.9 meV per atom

=====

TiBrN2 at its PBEsol-relaxed geometry, computed with SCAN.

Structure (CIF):
```
data_TiBrN2
_chemical_formula_sum 'Ti4 Br4 N8'
_space_group_name_H-M_alt 'F m -3 m'
_space_group_IT_number 225
_space_group_name_Hall '-F 4 2 3'
_cell_length_a 5.578
_cell_length_b 5.578
_cell_length_c 5.578
_cell_angle_alpha 90.00
_cell_angle_beta 90.00
_cell_angle_gamma 90.00
loop_
_atom_site_label
_atom_site_type_symbol
_atom_site_fract_x
_atom_site_fract_y
_atom_site_fract_z
Ti1 Ti 0.000 0.000 0.000
Br1 Br 0.000 0.000 0.500
N1 N 0.250 0.250 0.250
```

Summary:
V = 10.85 Å³/atom
Crystal system = cubic
Formation energy (no corrections) = 1386.0 meV per atom

=====

TlBrN2 at its PBEsol-relaxed geometry, computed with SCAN.

Structure (CIF):
```
data_TlBrN2
_chemical_formula_sum 'Tl4 Br4 N8'
_space_group_name_H-M_alt 'I -4 2 d'
_space_group_IT_number 122
_space_group_name_Hall 'I -4 2bw'
_cell_length_a 4.724
_cell_length_b 4.724
_cell_length_c 12.136
_cell_angle_alpha 90.00
_cell_angle_beta 90.00
_cell_angle_gamma 90.00
loop_
_atom_site_label
_atom_site_type_symbol
_atom_site_fract_x
_atom_site_fract_y
_atom_site_fract_z
Tl1 Tl 0.000 0.000 0.000
Br1 Br 0.000 0.000 0.500
N1 N 0.223 0.250 0.625
```

Summary:
V = 16.93 Å³/atom
Crystal system = tetragonal
Formation energy (no corrections) = 1764.0 meV per atom

=====

WBrN2 at its PBEsol-relaxed geometry, computed with SCAN.

Structure (CIF):
```
data_WBrN2
_chemical_formula_sum 'W3 Br3 N6'
_space_group_name_H-M_alt 'R -3 m'
_space_group_IT_number 166
_space_group_name_Hall '-R 3 2"'
_cell_length_a 3.0200
_cell_length_b 3.0200
_cell_length_c 20.4895
_cell_angle_alpha 90.00
_cell_angle_beta 90.00
_cell_angle_gamma 120.00
loop_
_atom_site_label
_atom_site_type_symbol
_atom_site_fract_x
_atom_site_fract_y
_atom_site_fract_z
W1 W 0.0000 0.0000 0.0000
Br1 Br 0.0000 0.0000 0.5000
N1 N 0.0000 0.0000 0.0920
```

Summary:
V = 13.49 Å³/atom
Crystal system = trigonal
Formation energy (no corrections) = 1894.4 meV per atom

=====

ZnBrN3 at its PBEsol-relaxed geometry, computed with SCAN.

Structure (CIF):
```
data_ZnBrN3
_chemical_formula_sum 'Zn1 Br1 N3'
_space_group_name_H-M_alt 'P m -3 m'
_space_group_IT_number 221
_space_group_name_Hall '-P 4 2 3'
_cell_length_a 4.002
_cell_length_b 4.002
_cell_length_c 4.002
_cell_angle_alpha 90.00
_cell_angle_beta 90.00
_cell_angle_gamma 90.00
loop_
_atom_site_label
_atom_site_type_symbol
_atom_site_fract_x
_atom_site_fract_y
_atom_site_fract_z
Zn1 Zn 0.000 0.000 0.000
Br1 Br 0.500 0.500 0.500
N1 N 0.000 0.000 0.500
```

Summary:
V = 12.82 Å³/atom
Crystal system = cubic
Formation energy (no corrections) = 2198.8 meV per atom

=====

Na3NbBr at its PBEsol-relaxed geometry, computed with SCAN.

Structure (CIF):
```
data_Na3NbBr
_chemical_formula_sum 'Na3 Nb1 Br1'
_space_group_name_H-M_alt 'P m -3 m'
_space_group_IT_number 221
_space_group_name_Hall '-P 4 2 3'
_cell_length_a 5.462
_cell_length_b 5.462
_cell_length_c 5.462
_cell_angle_alpha 90.00
_cell_angle_beta 90.00
_cell_angle_gamma 90.00
loop_
_atom_site_label
_atom_site_type_symbol
_atom_site_fract_x
_atom_site_fract_y
_atom_site_fract_z
Na1 Na 0.000 0.000 0.500
Nb1 Nb 0.500 0.500 0.500
Br1 Br 0.000 0.000 0.000
```

Summary:
V = 32.59 Å³/atom
Crystal system = cubic
Formation energy (no corrections) = 292.0 meV per atom